[1]
Compound: BaInGe2Au
Source: Alexandria
Functional: PBE-GGA
Structure: relaxed

Calculated values
final energy: -12.348 eV/cell
ρ: 4.7 g/cm3

Unit cell a=5.9648 b=5.9474 c=5.9648 alpha=90.00 beta=90.00 gamma=90.00
With the nearest neighbours (Å) after each atom.
Positions (direct):
Ge  0.0000  0.0000  0.5000  2 Ba 2.98
Ge  0.5000  0.0000  0.0000  2 Ba 2.98
Au  0.0000  0.5000  0.0000  2 Ba 2.97
Ba  0.0000  0.0000  0.0000  2 Au 2.97, 4 Ge 2.98
In  0.5000  0.5000  0.5000  8 Ge 4.21, 4 Au 4.22

=====

[2]
Compound: Ba2In4GeAu3
Source: Alexandria
Functional: PBE-GGA
Structure: relaxed

Calculated values
final energy: -34.285 eV/cell
ρ: 8.5 g/cm3

Unit cell a=4.9769 b=4.9769 c=11.0353 alpha=90.00 beta=90.00 gamma=90.00
With the nearest neighbours (Å) after each atom.
Positions (direct):
Ba  0.5000  0.0000  0.2590  2 Ge 3.64, 6 Au 3.64-3.81, 9 In 3.75-4.03
Ba  0.0000  0.5000  0.7410  2 Ge 3.64, 6 Au 3.64-3.81, 9 In 3.75-4.03
In  0.5000  0.5000  0.0000  4 Au 2.85
In  0.0000  0.0000  0.0000  4 Au 2.85
In  0.5000  0.0000  0.6241  3 Au 2.75-2.84, 2 Ge 2.84
In  0.0000  0.5000  0.3759  3 Au 2.75-2.84, 2 Ge 2.84
Ge  0.5000  0.5000  0.5000  4 In 2.84
Au  0.0000  0.0000  0.5000  4 In 2.84
Au  0.5000  0.0000  0.8736  5 In 2.75-2.85
Au  0.0000  0.5000  0.1264  5 In 2.75-2.85

=====

[3]
Compound: Ba2InGeAu
Source: Alexandria
Functional: PBE-GGA
Structure: relaxed

Calculated values
final energy: -15.649 eV/cell
ρ: 5.6 g/cm3

Unit cell a=6.4323 b=4.7607 c=6.4323 alpha=90.00 beta=90.00 gamma=90.00
With the nearest neighbours (Å) after each atom.
Positions (direct):
Ge  0.0000  0.0000  0.0000  2 Au 2.38
Au  0.0000  0.5000  0.0000  2 Ge 2.38
Ba  0.0000  0.0000  0.5000  2 Ge 3.22
Ba  0.5000  0.0000  0.0000  2 Ge 3.22
In  0.5000  0.5000  0.5000  8 Ba 4.00

=====

[4]
Compound: Ba2GeIrAu
Source: Alexandria
Functional: PBE-GGA
Structure: relaxed

Calculated values
ΔE to the lowest computed polymorph: 161 meV per atom
ρ: 6.9 g/cm3

Unit cell a=6.1284 b=6.1284 c=4.6877 alpha=90.00 beta=90.00 gamma=90.00
With the nearest neighbours (Å) after each atom.
Positions (direct):
Ge  0.0000  0.0000  0.5000  2 Ir 2.34
Ir  0.0000  0.0000  0.0000  2 Ge 2.34
Au  0.5000  0.5000  0.5000  8 Ba 3.86
Ba  0.0000  0.5000  0.0000  2 Ir 3.06
Ba  0.5000  0.0000  0.0000  2 Ir 3.06